Run 1
Density functional theory data (PBE-GGA) for a geometry-optimized PtSeBr3 structure.

Computed properties:
The density of states at the Fermi level is 9.96 states/eV/f.u. As for the total magnetic moment: 0.7 μB per cell.

Lattice parameters (Å, degrees): 5.285 5.285 5.285 90.00 90.00 90.00
Space group Pm-3m (No. 221)
Asymmetric unit:
Pt 0.000 0.000 0.000 x1
Se 0.500 0.500 0.500 x1
Br 0.000 0.500 0.500 x3



Run 2
Density functional theory data (PBE-GGA) for a geometry-optimized PtSeBr3 structure.

Computed properties:
As for the total magnetic moment: 0.0 μB per cell.

Lattice parameters (Å, degrees): 7.402 8.411 12.918 90.00 90.11 90.00
Space group P2/c (No. 13)
Asymmetric unit:
Pt 0.062 0.132 0.115 x4
Se 0.026 0.412 0.336 x4
Br 0.107 0.174 0.549 x4
Br 0.221 0.056 0.281 x4
Br 0.343 0.218 0.033 x4



The winner here is run 2, beating the second structure by 1020 meV/atom.



Run 1
Density functional theory data (PBE-GGA) for a geometry-optimized PtSe3Br structure.

Computed properties:
The density of states at the Fermi level is 7.98 states/eV/f.u. As for the total magnetic moment: 0.0 μB per cell.

Lattice parameters (Å, degrees): 5.011 5.011 5.011 90.00 90.00 90.00
Space group Pm-3m (No. 221)
Asymmetric unit:
Pt 0.000 0.000 0.000 x1
Se 0.000 0.000 0.500 x3
Br 0.500 0.500 0.500 x1



Run 2
Density functional theory data (PBE-GGA) for a geometry-optimized PtSe3Br structure.

Computed properties:
The density of states at the Fermi level is 7.51 states/eV/f.u. As for the total magnetic moment: 1.3 μB per cell.

Lattice parameters (Å, degrees): 5.090 5.090 5.090 90.00 90.00 90.00
Space group Pm-3m (No. 221)
Asymmetric unit:
Pt 0.000 0.000 0.000 x1
Se 0.000 0.500 0.500 x3
Br 0.500 0.500 0.500 x1



The winner here is run 1, beating the second structure by 919 meV/atom.



Run 1
Density functional theory data (PBE-GGA) for a geometry-optimized SiPtSeBr2 structure.

Computed properties:
The density of states at the Fermi level is 2.90 states/eV/f.u. As for the total magnetic moment: 0.0 μB per cell.

Lattice parameters (Å, degrees): 5.075 5.075 5.039 90.00 90.00 90.00
Space group P4/mmm (No. 123)
Asymmetric unit:
Si 0.000 0.000 0.000 x1
Pt 0.500 0.500 0.500 x1
Se 0.500 0.500 0.000 x1
Br 0.000 0.500 0.500 x2



Run 2
Density functional theory data (PBE-GGA) for a geometry-optimized SiPtSeBr2 structure.

Computed properties:
The density of states at the Fermi level is 5.33 states/eV/f.u. As for the total magnetic moment: 0.6 μB per cell.

Lattice parameters (Å, degrees): 4.834 4.834 5.161 90.00 90.00 90.00
Space group P4/mmm (No. 123)
Asymmetric unit:
Si 0.000 0.000 0.000 x1
Pt 0.500 0.500 0.500 x1
Se 0.000 0.000 0.500 x1
Br 0.000 0.500 0.000 x2



The winner here is run 1, beating the second structure by 215 meV/atom.



Run 1
Density functional theory data (PBE-GGA) for a geometry-optimized TaPtSe2Br structure.

Computed properties:
The density of states at the Fermi level is 6.71 states/eV/f.u. As for the total magnetic moment: 0.0 μB per cell.

Lattice parameters (Å, degrees): 5.010 5.010 5.006 90.00 90.00 90.00
Space group P4/mmm (No. 123)
Asymmetric unit:
Ta 0.000 0.000 0.000 x1
Pt 0.500 0.500 0.500 x1
Se 0.000 0.500 0.000 x2
Br 0.000 0.000 0.500 x1



Run 2
Density functional theory data (PBE-GGA) for a geometry-optimized TaPtSe2Br structure.

Computed properties:
The density of states at the Fermi level is 4.50 states/eV/f.u. As for the total magnetic moment: 2.3 μB per cell.

Lattice parameters (Å, degrees): 4.939 4.939 4.955 90.00 90.00 90.00
Space group P4/mmm (No. 123)
Asymmetric unit:
Ta 0.000 0.000 0.000 x1
Pt 0.500 0.500 0.500 x1
Se 0.000 0.500 0.500 x2
Br 0.500 0.500 0.000 x1



The winner here is run 1, beating the second structure by 425 meV/atom.



Run 1
Density functional theory data (PBE-GGA) for a geometry-optimized TaPtSeBr2 structure.

Computed properties:
The density of states at the Fermi level is 10.75 states/eV/f.u. As for the total magnetic moment: 0.0 μB per cell.

Lattice parameters (Å, degrees): 5.050 5.050 5.029 90.00 90.00 90.00
Space group P4/mmm (No. 123)
Asymmetric unit:
Ta 0.000 0.000 0.000 x1
Pt 0.500 0.500 0.500 x1
Se 0.000 0.000 0.500 x1
Br 0.000 0.500 0.000 x2



Run 2
Density functional theory data (PBE-GGA) for a geometry-optimized TaPtSeBr2 structure.

Computed properties:
The density of states at the Fermi level is 5.18 states/eV/f.u. As for the total magnetic moment: 2.8 μB per cell.

Lattice parameters (Å, degrees): 5.019 5.019 5.033 90.00 90.00 90.00
Space group P4/mmm (No. 123)
Asymmetric unit:
Ta 0.000 0.000 0.000 x1
Pt 0.500 0.500 0.500 x1
Se 0.500 0.500 0.000 x1
Br 0.000 0.500 0.500 x2



The winner here is run 1, beating the second structure by 429 meV/atom.



Run 1
Density functional theory data (PBE-GGA) for a geometry-optimized SiPtBr2 structure.

Computed properties:
The density of states at the Fermi level is 1.93 states/eV/f.u. As for the total magnetic moment: 0.0 μB per cell.

Lattice parameters (Å, degrees): 3.6593 3.6593 22.7308 90.00 90.00 120.00
Space group R-3m (No. 166, hexagonal axes)
Asymmetric unit:
Si 0.0000 0.0000 0.0000 x3
Pt 0.0000 0.0000 0.5000 x3
Br 0.0000 0.0000 0.2439 x6



Run 2
Density functional theory data (PBE-GGA) for a geometry-optimized SiPtBr2 structure.

Computed properties:
The density of states at the Fermi level is 1.74 states/eV/f.u. As for the total magnetic moment: 0.0 μB per cell.

Lattice parameters (Å, degrees): 11.744 3.567 5.433 90.00 98.14 90.00
Space group Cm (No. 8)
Asymmetric unit:
Si 0.000 0.000 0.000 x2
Pt 0.114 0.500 0.915 x2
Br 0.078 0.500 0.431 x2
Br 0.294 0.000 0.948 x2



Run 3
Density functional theory data (PBE-GGA) for a geometry-optimized SiPtBr2 structure.

Computed properties:
The density of states at the Fermi level is 1.92 states/eV/f.u. As for the total magnetic moment: 0.0 μB per cell.

Lattice parameters (Å, degrees): 3.313 6.359 8.794 90.00 90.00 90.00
Space group Cmmm (No. 65)
Asymmetric unit:
Si 0.000 0.000 0.000 x2
Pt 0.000 0.000 0.500 x2
Br 0.000 0.500 0.281 x4



The winner here is run 2, beating the second structure by 645 meV/atom.